Entry a
A relaxed structure of Li2PmEr. Source: Alexandria via LeMat-Bulk, functional GGA-PBE.

Computed properties:
As for the symmetry: P4/mmm (123).

a b c (Å): 3.7264 3.7264 7.5151
angles (deg): 90.00 90.00 90.00
Fractional positions:
Li: 0.0000 0.0000 0.2441
Li: 0.0000 0.0000 0.7559
Pm: 0.5000 0.5000 0.5000
Er: 0.5000 0.5000 0.0000

---

Entry b
A relaxed structure of Li2PmEr. Source: Alexandria via LeMat-Bulk, functional GGA-PBE.

Computed properties:
As for the symmetry: R-3m (166).

a b c (Å): 12.0230 12.0230 12.0230
angles (deg): 15.93 15.93 15.93
Fractional positions:
Li: 0.0873 0.0873 0.0873
Li: 0.9127 0.9127 0.9127
Pm: 0.5000 0.5000 0.5000
Er: 0.0000 0.0000 0.0000

---

Winner for stability: entry a

---

Entry a
A relaxed structure of LiPmEr2. Source: Alexandria via LeMat-Bulk, functional GGA-PBE.

Computed properties:
As for the symmetry: P4/mmm (123).

a b c (Å): 3.6274 3.6274 8.7242
angles (deg): 90.00 90.00 90.00
Fractional positions:
Li: 0.0000 0.0000 0.0000
Pm: 0.0000 0.0000 0.5000
Er: 0.5000 0.5000 0.2158
Er: 0.5000 0.5000 0.7842

---

Entry b
A relaxed structure of LiPmEr2. Source: Alexandria via LeMat-Bulk, functional GGA-PBE.

Computed properties:
As for the symmetry: Fm-3m (225).

a b c (Å): 5.4952 5.4952 5.4952
angles (deg): 60.00 60.00 60.00
Fractional positions:
Li: 0.0000 0.0000 0.0000
Pm: 0.5000 0.5000 0.5000
Er: 0.2500 0.2500 0.2500
Er: 0.7500 0.7500 0.7500

---

Entry c
A relaxed structure of LiPmEr2. Source: Alexandria via LeMat-Bulk, functional GGA-PBE.

Computed properties:
As for the symmetry: R3m (160).

a b c (Å): 11.3768 11.3768 11.3768
angles (deg): 17.74 17.74 17.74
Fractional positions:
Li: 0.0000 0.0000 0.0000
Pm: 0.1665 0.1665 0.1665
Er: 0.4131 0.4131 0.4131
Er: 0.5866 0.5866 0.5866

---

Winner for stability: entry a